Here is a geometry-optimized Sr4Nb3PO14 structure from Alexandria. Energies are from GGA-PBE.

Structure (POSCAR):
```
Sr4Nb3PO14
1.0
-4.082 0.012 0.003
-0.027 -5.748 0.003
2.013 0.872 13.311
O Sr P Nb
14 4 1 3
direct
0.654 0.475 0.294
0.791 0.742 0.599
0.063 0.890 0.025
0.975 0.383 0.984
0.911 0.903 0.822
0.893 0.380 0.765
0.345 0.057 0.695
0.188 0.187 0.394
0.112 0.763 0.203
0.214 0.669 0.423
0.778 0.213 0.566
0.450 0.619 0.896
0.130 0.217 0.179
0.621 0.987 0.122
0.467 0.066 0.919
0.704 0.923 0.417
0.516 0.532 0.102
0.285 0.465 0.591
0.997 0.968 0.134
0.807 0.022 0.677
0.958 0.584 0.876
0.142 0.438 0.317
```

Computed properties:
symmetry = P1, No. 1
formation energy without anion corrections = -2.776 eV/atom
energy above the most stable polymorph in this dataset = 22 meV per atom
V = 14.2 A^3/atom